No. 1
VASP calculation (PBE) on an optimized crystal structure of LiInNF2.

Summary:
As for the energy above the most stable polymorph in this dataset: 0 meV/atom. As for the space group: No. 123. For the formation energy (no corrections), the calculation gives -1030 meV/atom.

```
5
Lattice="-4.130 -1.234 -0.822 -0.286 -1.726 4.024 -1.373 3.624 1.457" Properties=species:S:1:pos:R:3 pbc="T T T"
In 0.000 0.000 0.000
F -2.065 -0.617 -0.411
Li -2.894 0.332 2.329
F -0.143 -0.863 2.012
N -0.686 1.812 0.728
```

No. 2
VASP calculation (PBE) on an optimized crystal structure of YFe2Pb2.

Summary:
As for the space group: No. 139.

```
5
Lattice="4.368 0.000 0.000 0.000 4.368 0.000 2.184 2.184 5.556" Properties=species:S:1:pos:R:3 pbc="T T T"
Fe 4.368 2.184 2.778
Fe 2.184 4.368 2.778
Pb 4.368 4.368 4.086
Pb 2.184 2.184 1.469
Y 0.000 0.000 0.000
```

| no. | VASP energy (Ry per atom) | theoretical density (kg/m3) |
| --- | --- | --- |
| 1 | -0.321 | 3620 |
| 2 | -0.425 | 9636 |